1.
{"formula": "EuAs2W", "functional": "GGA-PBE", "state": "optimized geometry", "lattice_angstrom": [[3.239, 0.000, 0.000], [0.000, 3.239, 0.000], [0.000, 0.000, 7.348]], "species": ["Eu", "As", "As", "W"], "fractional_positions": [[0.000, 0.000, 0.000], [0.500, 0.500, 0.299], [0.500, 0.500, 0.701], [0.000, 0.000, 0.500]], "e_above_lowest_polymorph_ev_per_fu": 0.00, "sg": "No. 123", "total_energy_ev_per_fu": -33.9, "delta_e_f_mev_per_atom": -335, "magnetic_moment_mub_per_fu": 7.20}

---

2.
{"formula": "Na2Ca4In", "functional": "GGA-PBE", "state": "optimized geometry", "lattice_angstrom": [[5.991, 0.000, 0.000], [0.000, 5.991, 0.000], [0.000, 0.000, 17.721]], "species": ["Na", "Na", "Na", "Na", "Ca", "Ca", "Ca", "Ca", "Ca", "Ca", "Ca", "Ca", "In", "In"], "fractional_positions": [[0.000, 0.000, 0.126], [0.000, 0.000, 0.874], [0.500, 0.500, 0.374], [0.500, 0.500, 0.626], [0.000, 0.000, 0.327], [0.000, 0.000, 0.673], [0.000, 0.500, 0.000], [0.000, 0.500, 0.500], [0.500, 0.000, 0.000], [0.500, 0.000, 0.500], [0.500, 0.500, 0.173], [0.500, 0.500, 0.827], [0.000, 0.000, 0.500], [0.500, 0.500, 0.000]], "sg": "No. 139", "total_energy_ev_per_fu": -12.7, "delta_e_f_mev_per_atom": 103, "magnetic_moment_mub_per_fu": 0.00}

---

3.
{"formula": "AgTeN2Cl", "functional": "GGA-PBE", "state": "optimized geometry", "lattice_angstrom": [[4.018, 0.000, 0.000], [0.000, 4.018, 0.000], [0.000, 0.000, 8.306]], "species": ["Ag", "Te", "N", "N", "Cl"], "fractional_positions": [[0.000, 0.000, 0.000], [0.500, 0.500, 0.000], [0.000, 0.500, 0.500], [0.500, 0.000, 0.500], [0.500, 0.500, 0.500]], "e_above_lowest_polymorph_ev_per_fu": 1.89, "sg": "No. 123", "raw_formation_energy_ev_per_atom": 2.0730, "total_energy_ev_per_fu": -14.1, "magnetic_moment_mub_per_fu": 3.69}

---

4.
{"formula": "Hf2Ga2N", "functional": "GGA-PBE", "state": "optimized geometry", "lattice_angstrom": [[6.006, 0.000, 0.000], [0.000, 6.006, 0.000], [0.000, 0.000, 4.616]], "species": ["Hf", "Hf", "Hf", "Hf", "Ga", "Ga", "Ga", "Ga", "N", "N"], "fractional_positions": [[0.169, 0.331, 0.000], [0.331, 0.831, 0.000], [0.669, 0.169, 0.000], [0.831, 0.669, 0.000], [0.151, 0.651, 0.500], [0.349, 0.151, 0.500], [0.651, 0.849, 0.500], [0.849, 0.349, 0.500], [0.000, 0.000, 0.500], [0.500, 0.500, 0.500]], "e_above_lowest_polymorph_ev_per_fu": 0.00, "sg": "No. 127", "raw_formation_energy_ev_per_atom": 0.3181, "total_energy_ev_per_fu": -32.7, "magnetic_moment_mub_per_fu": 0.00}

---

5.
{"formula": "InHg2", "functional": "GGA-PBE", "state": "optimized geometry", "lattice_angstrom": [[7.079, 0.000, 0.000], [0.000, 7.079, 0.000], [0.000, 0.000, 7.079]], "species": ["In", "In", "In", "In", "Hg", "Hg", "Hg", "Hg", "Hg", "Hg", "Hg", "Hg"], "fractional_positions": [[0.000, 0.000, 0.000], [0.000, 0.500, 0.500], [0.500, 0.000, 0.500], [0.500, 0.500, 0.000], [0.250, 0.250, 0.250], [0.250, 0.250, 0.750], [0.250, 0.750, 0.250], [0.250, 0.750, 0.750], [0.750, 0.250, 0.250], [0.750, 0.250, 0.750], [0.750, 0.750, 0.250], [0.750, 0.750, 0.750]], "sg": "No. 225", "total_energy_ev_per_fu": -3.2, "delta_e_f_mev_per_atom": 36, "magnetic_moment_mub_per_fu": 0.00}

---

6.
{"formula": "Ho2Cd16In", "functional": "GGA-PBE", "state": "optimized geometry", "lattice_angstrom": [[5.063, 2.923, 4.964], [-5.063, 2.923, 4.964], [0.000, -5.846, 4.964]], "species": ["Ho", "Ho", "Cd", "Cd", "Cd", "Cd", "Cd", "Cd", "Cd", "Cd", "Cd", "Cd", "Cd", "Cd", "Cd", "Cd", "Cd", "Cd", "In"], "fractional_positions": [[0.000, 0.000, 0.000], [0.349, 0.349, 0.349], [0.015, 0.015, 0.556], [0.015, 0.556, 0.015], [0.212, 0.649, 0.649], [0.297, 0.297, 0.912], [0.297, 0.912, 0.297], [0.363, 0.681, 0.989], [0.363, 0.989, 0.681], [0.556, 0.015, 0.015], [0.588, 0.588, 0.588], [0.649, 0.212, 0.649], [0.649, 0.649, 0.212], [0.681, 0.363, 0.989], [0.681, 0.989, 0.363], [0.912, 0.297, 0.297], [0.989, 0.363, 0.681], [0.989, 0.681, 0.363], [0.779, 0.779, 0.779]], "sg": "No. 160", "total_energy_ev_per_fu": -28.2, "delta_e_f_mev_per_atom": -89, "magnetic_moment_mub_per_fu": 0.00}

---

7.
{"formula": "Te2OsCN", "functional": "GGA-PBE", "state": "optimized geometry", "lattice_angstrom": [[5.364, 0.000, 0.000], [0.000, 5.364, 0.000], [0.000, 0.000, 3.649]], "species": ["Te", "Te", "Os", "C", "N"], "fractional_positions": [[0.000, 0.500, 0.000], [0.500, 0.000, 0.000], [0.000, 0.000, 0.000], [0.500, 0.500, 0.500], [0.000, 0.000, 0.500]], "e_above_lowest_polymorph_ev_per_fu": 0.00, "sg": "No. 123", "raw_formation_energy_ev_per_atom": 1.5853, "total_energy_ev_per_fu": -27.1, "magnetic_moment_mub_per_fu": 0.61}

---

8.
{"formula": "CaSbAsSe2", "functional": "GGA-PBE", "state": "optimized geometry", "lattice_angstrom": [[5.338, 0.000, 0.000], [0.000, 5.338, 0.000], [0.000, 0.000, 5.256]], "species": ["Ca", "Sb", "As", "Se", "Se"], "fractional_positions": [[0.000, 0.000, 0.000], [0.500, 0.500, 0.500], [0.500, 0.500, 0.000], [0.000, 0.500, 0.500], [0.500, 0.000, 0.500]], "e_above_lowest_polymorph_ev_per_fu": 0.00, "sg": "No. 123", "raw_formation_energy_ev_per_atom": -0.1725, "total_energy_ev_per_fu": -18.6, "magnetic_moment_mub_per_fu": 0.00}

---

9.
{"formula": "NaLi4Hg3F12", "functional": "GGA-PBE", "state": "optimized geometry", "lattice_angstrom": [[-3.923, 3.923, 3.923], [3.923, -3.923, 3.923], [3.923, 3.923, -3.923]], "species": ["Na", "Li", "Li", "Li", "Li", "Hg", "Hg", "Hg", "F", "F", "F", "F", "F", "F", "F", "F", "F", "F", "F", "F"], "fractional_positions": [[0.000, 0.000, 0.000], [0.000, 0.000, 0.500], [0.000, 0.500, 0.000], [0.500, 0.000, 0.000], [0.500, 0.500, 0.500], [0.000, 0.500, 0.500], [0.500, 0.000, 0.500], [0.500, 0.500, 0.000], [0.102, 0.805, 0.296], [0.195, 0.296, 0.491], [0.195, 0.704, 0.898], [0.296, 0.102, 0.805], [0.296, 0.491, 0.195], [0.491, 0.195, 0.296], [0.509, 0.805, 0.704], [0.704, 0.509, 0.805], [0.704, 0.898, 0.195], [0.805, 0.296, 0.102], [0.805, 0.704, 0.509], [0.898, 0.195, 0.704]], "sg": "No. 204", "raw_formation_energy_ev_per_atom": -2.1009, "total_energy_ev_per_fu": -74.4, "magnetic_moment_mub_per_fu": 1.19}

---

10.
{"formula": "Rb3TeSe3", "functional": "GGA-PBE", "state": "optimized geometry", "lattice_angstrom": [[4.824, -7.140, 0.000], [4.824, 7.140, 0.000], [-0.575, 0.000, 8.643]], "species": ["Rb", "Rb", "Rb", "Rb", "Rb", "Rb", "Te", "Te", "Se", "Se", "Se", "Se", "Se", "Se"], "fractional_positions": [[0.168, 0.832, 0.000], [0.220, 0.780, 0.500], [0.383, 0.383, 0.153], [0.617, 0.617, 0.847], [0.780, 0.220, 0.500], [0.832, 0.168, 0.000], [0.199, 0.199, 0.693], [0.801, 0.801, 0.307], [0.076, 0.076, 0.304], [0.170, 0.486, 0.789], [0.486, 0.170, 0.789], [0.514, 0.830, 0.211], [0.830, 0.514, 0.211], [0.924, 0.924, 0.696]], "e_above_lowest_polymorph_ev_per_fu": 0.00, "sg": "No. 12", "raw_formation_energy_ev_per_atom": -0.7711, "total_energy_ev_per_fu": -21.9, "magnetic_moment_mub_per_fu": 0.00}

---

11.
{"formula": "CsMgTa", "functional": "GGA-PBE", "state": "optimized geometry", "lattice_angstrom": [[3.939, 0.000, 0.000], [0.000, 3.975, 0.000], [0.084, 0.087, 14.615]], "species": ["Cs", "Cs", "Mg", "Mg", "Ta", "Ta"], "fractional_positions": [[0.000, 0.000, 0.000], [0.483, 0.981, 0.654], [0.489, 0.499, 0.401], [0.989, 0.000, 0.401], [0.492, 0.003, 0.248], [0.992, 0.503, 0.239]], "e_above_lowest_polymorph_ev_per_fu": 0.24, "sg": "No. 1", "total_energy_ev_per_fu": -12.4, "delta_e_f_mev_per_atom": 644, "magnetic_moment_mub_per_fu": 0.41}

---

12.
{"formula": "La2VB10", "functional": "GGA-PBE", "state": "optimized geometry", "lattice_angstrom": [[5.823, 0.000, 0.000], [0.000, 11.598, 0.000], [0.000, 0.000, 4.229]], "species": ["La", "La", "La", "La", "V", "V", "B", "B", "B", "B", "B", "B", "B", "B", "B", "B", "B", "B", "B", "B", "B", "B", "B", "B", "B", "B"], "fractional_positions": [[0.206, 0.137, 0.000], [0.294, 0.637, 0.000], [0.706, 0.363, 0.000], [0.794, 0.863, 0.000], [0.000, 0.500, 0.500], [0.500, 0.000, 0.500], [0.061, 0.308, 0.500], [0.119, 0.957, 0.500], [0.134, 0.803, 0.500], [0.223, 0.382, 0.202], [0.223, 0.382, 0.798], [0.277, 0.882, 0.202], [0.277, 0.882, 0.798], [0.366, 0.303, 0.500], [0.381, 0.457, 0.500], [0.439, 0.808, 0.500], [0.561, 0.192, 0.500], [0.619, 0.543, 0.500], [0.634, 0.697, 0.500], [0.723, 0.118, 0.202], [0.723, 0.118, 0.798], [0.777, 0.618, 0.202], [0.777, 0.618, 0.798], [0.866, 0.197, 0.500], [0.881, 0.043, 0.500], [0.939, 0.692, 0.500]], "sg": "No. 55", "total_energy_ev_per_fu": -91.8, "delta_e_f_mev_per_atom": -469, "magnetic_moment_mub_per_fu": 2.52}

---

13.
{"formula": "Ce4MgSb5", "functional": "GGA-PBE", "state": "optimized geometry", "lattice_angstrom": [[-2.237, 2.237, 15.753], [2.237, -2.237, 15.753], [2.237, 2.237, -15.753]], "species": ["Ce", "Ce", "Ce", "Ce", "Mg", "Sb", "Sb", "Sb", "Sb", "Sb"], "fractional_positions": [[0.097, 0.097, 0.000], [0.300, 0.300, 0.000], [0.700, 0.700, 0.000], [0.903, 0.903, 0.000], [0.500, 0.500, 0.000], [0.000, 0.000, 0.000], [0.199, 0.199, 0.000], [0.401, 0.401, 0.000], [0.599, 0.599, 0.000], [0.801, 0.801, 0.000]], "sg": "No. 139", "raw_formation_energy_ev_per_atom": -0.8453, "total_energy_ev_per_fu": -54.4, "magnetic_moment_mub_per_fu": 2.72}

---

14.
{"formula": "KPuNpI6", "functional": "GGA-PBE", "state": "optimized geometry", "lattice_angstrom": [[8.120, 0.000, 0.000], [-4.060, 7.032, 0.000], [0.000, 0.000, 15.629]], "species": ["K", "K", "Pu", "Pu", "Np", "Np", "I", "I", "I", "I", "I", "I", "I", "I", "I", "I", "I", "I"], "fractional_positions": [[0.000, 0.000, 0.000], [0.000, 0.000, 0.500], [0.333, 0.667, 0.250], [0.667, 0.333, 0.750], [0.333, 0.667, 0.750], [0.667, 0.333, 0.250], [0.004, 0.367, 0.632], [0.004, 0.636, 0.868], [0.364, 0.367, 0.868], [0.364, 0.996, 0.632], [0.367, 0.004, 0.132], [0.367, 0.364, 0.368], [0.633, 0.636, 0.632], [0.633, 0.996, 0.868], [0.636, 0.004, 0.368], [0.636, 0.633, 0.132], [0.996, 0.364, 0.132], [0.996, 0.633, 0.368]], "sg": "No. 163", "raw_formation_energy_ev_per_atom": -1.0648, "total_energy_ev_per_fu": -47.3, "magnetic_moment_mub_per_fu": 1.40}

---

15.
{"formula": "BaNaPb", "functional": "GGA-PBE", "state": "optimized geometry", "lattice_angstrom": [[8.133, 0.000, 0.000], [0.000, 8.133, 0.000], [0.000, 0.000, 8.133]], "species": ["Ba", "Ba", "Ba", "Ba", "Na", "Na", "Na", "Na", "Pb", "Pb", "Pb", "Pb"], "fractional_positions": [[0.000, 0.000, 0.000], [0.000, 0.500, 0.500], [0.500, 0.000, 0.500], [0.500, 0.500, 0.000], [0.000, 0.000, 0.500], [0.000, 0.500, 0.000], [0.500, 0.000, 0.000], [0.500, 0.500, 0.500], [0.250, 0.250, 0.250], [0.250, 0.750, 0.750], [0.750, 0.250, 0.750], [0.750, 0.750, 0.250]], "e_above_lowest_polymorph_ev_per_fu": 0.44, "sg": "No. 216", "total_energy_ev_per_fu": -7.6, "delta_e_f_mev_per_atom": -226, "magnetic_moment_mub_per_fu": 1.04}

---

16.
{"formula": "CeSnBr6", "functional": "GGA-PBE", "state": "optimized geometry", "lattice_angstrom": [[3.600, 2.078, 6.574], [-3.600, 2.078, 6.574], [0.000, -4.157, 6.574]], "species": ["Ce", "Sn", "Br", "Br", "Br", "Br", "Br", "Br"], "fractional_positions": [[0.000, 0.000, 0.000], [0.500, 0.500, 0.500], [0.080, 0.403, 0.762], [0.238, 0.920, 0.597], [0.403, 0.762, 0.080], [0.597, 0.238, 0.920], [0.762, 0.080, 0.403], [0.920, 0.597, 0.238]], "e_above_lowest_polymorph_ev_per_fu": 0.09, "sg": "No. 148", "raw_formation_energy_ev_per_atom": -1.2555, "total_energy_ev_per_fu": -30.0, "magnetic_moment_mub_per_fu": 0.00}

---

17.
{"formula": "Ge2As3", "functional": "GGA-PBE", "state": "optimized geometry", "lattice_angstrom": [[3.446, -5.577, 0.000], [3.446, 5.577, 0.000], [-1.982, 0.000, 6.159]], "species": ["Ge", "Ge", "Ge", "Ge", "As", "As", "As", "As", "As", "As"], "fractional_positions": [[0.094, 0.906, 0.500], [0.279, 0.765, 0.009], [0.765, 0.279, 0.509], [0.906, 0.094, 0.000], [0.104, 0.257, 0.394], [0.257, 0.104, 0.894], [0.437, 0.855, 0.425], [0.547, 0.710, 0.799], [0.710, 0.547, 0.299], [0.855, 0.437, 0.925]], "e_above_lowest_polymorph_ev_per_fu": 0.00, "sg": "No. 9", "total_energy_ev_per_fu": -22.7, "delta_e_f_mev_per_atom": 88, "magnetic_moment_mub_per_fu": 0.00}

---

18.
{"formula": "Zn2Te", "functional": "GGA-PBE", "state": "optimized geometry", "lattice_angstrom": [[4.032, 0.000, 0.000], [-2.016, 3.491, 0.000], [0.000, 0.000, 4.757]], "species": ["Zn", "Zn", "Te"], "fractional_positions": [[0.333, 0.667, 0.342], [0.667, 0.333, 0.658], [0.000, 0.000, 0.000]], "e_above_lowest_polymorph_ev_per_fu": 0.34, "sg": "No. 164", "raw_formation_energy_ev_per_atom": -0.0057, "total_energy_ev_per_fu": -5.7, "magnetic_moment_mub_per_fu": 0.00}

---

19.
{"formula": "AlTcAs3", "functional": "GGA-PBE", "state": "optimized geometry", "lattice_angstrom": [[4.776, 0.000, 0.000], [0.000, 4.776, 0.000], [0.000, 0.000, 4.776]], "species": ["Al", "Tc", "As", "As", "As"], "fractional_positions": [[0.000, 0.000, 0.000], [0.500, 0.500, 0.500], [0.000, 0.000, 0.500], [0.000, 0.500, 0.000], [0.500, 0.000, 0.000]], "e_above_lowest_polymorph_ev_per_fu": 2.64, "sg": "No. 221", "total_energy_ev_per_fu": -22.7, "delta_e_f_mev_per_atom": 1066, "magnetic_moment_mub_per_fu": 2.88}

---

20.
{"formula": "ZrZn2In2", "functional": "GGA-PBE", "state": "optimized geometry", "lattice_angstrom": [[7.706, 0.000, 0.000], [0.000, 7.706, 0.000], [0.000, 0.000, 3.381]], "species": ["Zr", "Zr", "Zn", "Zn", "Zn", "Zn", "In", "In", "In", "In"], "fractional_positions": [[0.000, 0.000, 0.000], [0.500, 0.500, 0.000], [0.120, 0.380, 0.000], [0.380, 0.880, 0.000], [0.620, 0.120, 0.000], [0.880, 0.620, 0.000], [0.180, 0.680, 0.500], [0.320, 0.180, 0.500], [0.680, 0.820, 0.500], [0.820, 0.320, 0.500]], "e_above_lowest_polymorph_ev_per_fu": 0.00, "sg": "No. 127", "total_energy_ev_per_fu": -16.8, "delta_e_f_mev_per_atom": -47, "magnetic_moment_mub_per_fu": 0.00}